An optimized crystal structure of PRh2Pb, computed with PBE.

```
data_PRh2Pb
_symmetry_space_group_name_H-M 'C m m m'
_symmetry_Int_Tables_number 65
_symmetry_space_group_name_Hall '-C 2 2'
_cell_length_a 6.1046
_cell_length_b 6.4262
_cell_length_c 3.3701
_cell_angle_alpha 90.00
_cell_angle_beta 90.00
_cell_angle_gamma 90.00
loop_
_atom_site_label
_atom_site_type_symbol
_atom_site_fract_x
_atom_site_fract_y
_atom_site_fract_z
P1 P 0.0000 0.0000 0.0000
Rh1 Rh 0.2500 0.2500 0.5000
Pb1 Pb 0.0000 0.5000 0.0000
```

formation enthalpy at 0 K	0.145	eV/atom
density of states at the Fermi level	0.9757	states/eV/atom
DFT total energy	-46.5	eV for the cell shown
mass density	11.15	g cm⁻³